Record 1
Below is Li2Ho2HfS6 after structural relaxation, with properties calculated at the GGA-PBE level.

```
Li2Ho2HfS6
1.0
6.6378 -0.0006 0.1220
-3.2813 5.7700 0.1220
-1.1453 -1.9686 6.1023
Li S Ho Hf
2 6 2 1
direct
0.1577 0.8423 0.0000
0.8423 0.1577 0.0000
0.7633 0.7633 0.7399
0.9294 0.6092 0.2603
0.2367 0.2367 0.2601
0.3908 0.0706 0.7397
0.0706 0.3908 0.7397
0.6092 0.9294 0.2603
0.6660 0.3340 0.5000
0.3340 0.6660 0.5000
0.0000 0.0000 0.5000
```

Properties
Symmetry   No. 12
E_form (uncorrected)   -1769 meV per atom
DOS(E_F)   0.0 states/eV per cell
Energy   -6.105 eV/atom

***

Record 2
Below is Pr2MgScAu6 after structural relaxation, with properties calculated at the GGA-PBE level.

```
Pr2MgScAu6
1.0
-3.6668 1.2465 5.7412
-5.9591 -1.6260 -5.4625
-6.9761 -4.4493 0.7780
Au Mg Pr Sc
6 1 2 1
direct
0.2741 0.7260 0.8460
0.5490 0.4509 0.6815
0.9615 0.0385 0.3173
0.0385 0.9615 0.6827
0.7259 0.2740 0.1540
0.4510 0.5491 0.3185
0.0000 0.0000 0.0000
0.7723 0.2276 0.5618
0.2277 0.7724 0.4382
0.5000 0.5000 0.0000
```

Properties
Symmetry   No. 12
DOS(E_F)   5.2 states/eV per cell
Energy   -4.352 eV/atom

***

Record 3
Below is Nd5Se5N2 after structural relaxation, with properties calculated at the GGA-PBE level.

```
Nd5Se5N2
1.0
4.0203 0.0000 0.0000
-2.0101 6.7745 0.0915
0.0000 -3.0954 10.7564
N Nd Se
2 5 5
direct
0.0458 0.0916 0.7989
0.9542 0.9084 0.2011
0.6492 0.2984 0.7964
0.0000 0.0000 0.0000
0.9045 0.8091 0.6329
0.3508 0.7016 0.2036
0.0955 0.1909 0.3671
0.7539 0.5079 0.3650
0.2461 0.4921 0.6350
0.6646 0.3292 0.0729
0.5000 0.0000 0.5000
0.3354 0.6708 0.9271
```

Properties
Symmetry   No. 12
E_form (uncorrected)   -1611 meV per atom
DOS(E_F)   5.3 states/eV per cell
Energy   -6.437 eV/atom

***

Record 4
Below is CeTm5Sb2 after structural relaxation, with properties calculated at the GGA-PBE level.

```
CeTm5Sb2
1.0
4.1064 0.0000 0.0000
-2.0532 5.9558 0.0000
0.0000 0.0000 19.0231
Tm Sb Ce
10 4 2
direct
0.6377 0.2753 0.5244
0.0464 0.0927 0.3869
0.5987 0.1973 0.2500
0.9536 0.9073 0.6131
0.3623 0.7247 0.0244
0.4013 0.8027 0.7500
0.3623 0.7247 0.4756
0.6377 0.2753 0.9756
0.9536 0.9073 0.8869
0.0464 0.0927 0.1131
0.7578 0.5156 0.1248
0.2422 0.4844 0.6248
0.7578 0.5156 0.3752
0.2422 0.4844 0.8752
0.3275 0.6549 0.2500
0.6725 0.3451 0.7500
```

Properties
Symmetry   No. 63
E_form (uncorrected)   -460 meV per atom
DOS(E_F)   27.4 states/eV per cell
Energy   -5.027 eV/atom

***

Record 5
Below is Sn2CCl after structural relaxation, with properties calculated at the GGA-PBE level.

```
Sn2CCl
1.0
6.9718 0.0000 0.0000
0.0000 6.9718 0.0000
3.4859 3.4859 3.8268
Sn C Cl
4 2 2
direct
0.2172 0.6250 0.2500
0.5328 0.1250 0.2500
0.8750 0.7828 0.7500
0.3750 0.4672 0.7500
0.2500 0.7500 0.5000
0.5000 0.5000 0.0000
0.7500 0.2500 0.5000
0.0000 0.0000 0.0000
```

Properties
Symmetry   No. 122
E_form (uncorrected)   531 meV per atom
DOS(E_F)   4.2 states/eV per cell
Energy   -4.238 eV/atom

***

Record 6
Below is GaPN2F after structural relaxation, with properties calculated at the GGA-PBE level.

```
GaPN2F
1.0
-2.0310 1.4068 -2.2418
1.5201 -1.6933 -2.4397
-3.9274 -4.5439 0.7067
N P F Ga
2 1 1 1
direct
0.0000 0.5000 0.0000
0.5000 0.0000 0.0000
0.0000 0.0000 0.0000
0.0000 0.0000 0.5000
0.5000 0.5000 0.5000
```

Properties
Symmetry   No. 123
E_form (uncorrected)   126 meV per atom
DOS(E_F)   1.9 states/eV per cell
Energy   -5.266 eV/atom

***

Record 7
Below is CaHg2Pb2 after structural relaxation, with properties calculated at the GGA-PBE level.

```
CaHg2Pb2
1.0
-6.8045 4.4583 1.4694
-2.4328 -5.5622 5.6106
2.0681 2.1563 3.0344
Ca Hg Pb
2 4 4
direct
0.5000 0.5000 0.0000
0.0000 0.0000 0.0000
0.3723 0.8723 0.0000
0.1277 0.3723 0.0000
0.8723 0.6277 0.0000
0.6277 0.1277 0.0000
0.6762 0.8238 0.5000
0.8238 0.3238 0.5000
0.3238 0.1762 0.5000
0.1762 0.6762 0.5000
```

Properties
Symmetry   No. 127
DOS(E_F)   5.6 states/eV per cell
Energy   -2.194 eV/atom

***

Record 8
Below is Ce6SnPb4 after structural relaxation, with properties calculated at the GGA-PBE level.

```
Ce6SnPb4
1.0
-6.4246 -2.7015 3.9684
6.9273 -1.8038 3.6166
0.3137 8.0032 -0.4143
Pb Ce Sn
4 6 1
direct
0.5454 0.3641 0.3641
0.0000 0.6359 0.1813
0.0000 0.1813 0.6359
0.4546 0.8187 0.8187
0.5000 0.5000 0.0000
0.2078 0.4187 0.4187
0.7922 0.2110 0.2110
0.0000 0.7890 0.5813
0.0000 0.5813 0.7890
0.5000 0.0000 0.5000
0.0000 0.0000 0.0000
```

Properties
Symmetry   No. 121
DOS(E_F)   30.2 states/eV per cell
Energy   -5.000 eV/atom